# 1
A geometry-optimized LiPu2PaAs4 structure, computed with PBE-GGA.

CIF file:
```
data_LiPu2PaAs4
_cell_length_a 7.018
_cell_length_b 4.161
_cell_length_c 7.080
_cell_angle_alpha 90.00
_cell_angle_beta 109.51
_cell_angle_gamma 90.00
_symmetry_space_group_name_H-M 'P 1'
_symmetry_Int_Tables_number 1
loop_
_symmetry_equiv_pos_as_xyz
'x,y,z'
loop_
_atom_site_label
_atom_site_fract_x
_atom_site_fract_y
_atom_site_fract_z
Li1 0.000 0.000 0.000
Pu1 0.000 0.500 0.500
Pu2 0.500 0.000 0.500
Pa1 0.500 0.500 0.000
As1 0.252 0.000 0.758
As2 0.258 0.500 0.250
As3 0.742 0.500 0.750
As4 0.748 0.000 0.242
```

Results
* DOS(E_F): 22.639 states/eV/cell
* energy: -8.192 eV/atom

***

# 2
A geometry-optimized Cs2LaAsF6 structure, computed with PBE-GGA.

CIF file:
```
data_Cs2LaAsF6
_cell_length_a 7.661
_cell_length_b 7.661
_cell_length_c 7.661
_cell_angle_alpha 131.02
_cell_angle_beta 131.02
_cell_angle_gamma 71.79
_symmetry_space_group_name_H-M 'P 1'
_symmetry_Int_Tables_number 1
loop_
_symmetry_equiv_pos_as_xyz
'x,y,z'
loop_
_atom_site_label
_atom_site_fract_x
_atom_site_fract_y
_atom_site_fract_z
Cs1 0.250 0.750 0.500
Cs2 0.750 0.250 0.500
La1 0.000 0.000 0.000
As1 0.500 0.500 0.000
F1 0.185 0.185 0.000
F2 0.259 0.259 0.517
F3 0.259 0.741 0.000
F4 0.741 0.259 0.000
F5 0.741 0.741 0.483
F6 0.815 0.815 0.000
```

Results
* DOS(E_F): 0.000 states/eV/cell
* energy: -5.054 eV/atom
* energy relative to the elements, uncorrected: -270.43 kJ per mole of atoms

***

# 3
A geometry-optimized KNiW2 structure, computed with PBE-GGA.

CIF file:
```
data_KNiW2
_cell_length_a 5.874
_cell_length_b 5.874
_cell_length_c 5.874
_cell_angle_alpha 151.32
_cell_angle_beta 122.12
_cell_angle_gamma 65.86
_symmetry_space_group_name_H-M 'P 1'
_symmetry_Int_Tables_number 1
loop_
_symmetry_equiv_pos_as_xyz
'x,y,z'
loop_
_atom_site_label
_atom_site_fract_x
_atom_site_fract_y
_atom_site_fract_z
K1 0.000 0.000 0.000
Ni1 0.281 0.781 0.500
W1 0.492 0.492 0.000
W2 0.693 0.193 0.500
```

Results
* DOS(E_F): 3.239 states/eV/cell
* energy: -6.788 eV/atom
* excess energy over the best structure of this formula in the dataset: 692 meV/atom